A plane-wave DFT calculation with PBE+U was carried out for a geometry-optimized CoTeN2F structure.

a = 3.905 Å, b = 3.905 Å, c = 5.380 Å
α = 90.00°, β = 90.00°, γ = 90.00°
Fractional coordinates of all 5 atoms:
Co 0.000 0.000 0.000
Te 0.000 0.000 0.500
N 0.000 0.500 0.500
N 0.500 0.000 0.500
F 0.500 0.500 0.000

Computed properties:
The total energy comes out at -4.055 eV per atom. For the total moment, the calculation gives 2.3 μB per cell. The offset from the most stable computed form comes out at 659 meV per atom. The density comes out at 4.73 g/cm3.